1.
# Cs2Be2Se

Cs2Be2Se after structural relaxation (PBE, Alexandria).

Computed properties:
volume: 166.44 Å³/f.u.
energy above the most stable polymorph in this dataset: 0.0000 eV/atom
total energy: -2.2669 eV per atom

Structure (CIF):
```
data_Cs2Be2Se
_cell_length_a 7.1361
_cell_length_b 7.1361
_cell_length_c 6.5369
_cell_angle_alpha 90.00
_cell_angle_beta 90.00
_cell_angle_gamma 90.00
_symmetry_space_group_name_H-M 'I 4/m m m'
_symmetry_Int_Tables_number 139
_symmetry_space_group_name_Hall '-I 4 2'
loop_
_atom_site_label
_atom_site_type_symbol
_atom_site_fract_x
_atom_site_fract_y
_atom_site_fract_z
Cs1 Cs 0.0000 0.5000 0.2500
Be1 Be 0.0000 0.0000 0.1570
Se1 Se 0.0000 0.0000 0.5000
```

2.
# CsBeSe3

CsBeSe3 after structural relaxation (PBE, Alexandria).

Computed properties:
volume: 121.89 Å³/f.u.
energy above the most stable polymorph in this dataset: 0.5151 eV/atom
total energy: -3.1579 eV per atom

Structure (CIF):
```
data_CsBeSe3
_cell_length_a 4.9582
_cell_length_b 4.9582
_cell_length_c 4.9582
_cell_angle_alpha 90.00
_cell_angle_beta 90.00
_cell_angle_gamma 90.00
_symmetry_space_group_name_H-M 'P m -3 m'
_symmetry_Int_Tables_number 221
_symmetry_space_group_name_Hall '-P 4 2 3'
loop_
_atom_site_label
_atom_site_type_symbol
_atom_site_fract_x
_atom_site_fract_y
_atom_site_fract_z
Cs1 Cs 0.0000 0.0000 0.0000
Be1 Be 0.5000 0.5000 0.5000
Se1 Se 0.0000 0.5000 0.5000
```

3.
# CsBeSe3

CsBeSe3 after structural relaxation (PBE, Alexandria).

Computed properties:
volume: 157.93 Å³/f.u.
energy above the most stable polymorph in this dataset: 0.0000 eV/atom
total energy: -3.6730 eV per atom

Structure (CIF):
```
data_CsBeSe3
_cell_length_a 7.0702
_cell_length_b 14.6524
_cell_length_c 6.5083
_cell_angle_alpha 90.00
_cell_angle_beta 110.46
_cell_angle_gamma 90.00
_symmetry_space_group_name_H-M 'C 1 c 1'
_symmetry_Int_Tables_number 9
_symmetry_space_group_name_Hall 'C -2yc'
loop_
_atom_site_label
_atom_site_type_symbol
_atom_site_fract_x
_atom_site_fract_y
_atom_site_fract_z
Cs1 Cs 0.0000 0.1638 0.0000
Be1 Be 0.0913 0.4746 0.5993
Se1 Se 0.2465 0.4307 0.9410
Se2 Se 0.3390 0.0796 0.5516
Se3 Se 0.4634 0.1490 0.8993
```

4.
# Cs2Be2Se

Cs2Be2Se after structural relaxation (PBE, Alexandria).

Computed properties:
volume: 139.61 Å³/f.u.
energy above the most stable polymorph in this dataset: 0.1577 eV/atom
total energy: -2.1093 eV per atom

Structure (CIF):
```
data_Cs2Be2Se
_cell_length_a 6.9712
_cell_length_b 6.9712
_cell_length_c 5.7454
_cell_angle_alpha 90.00
_cell_angle_beta 90.00
_cell_angle_gamma 90.00
_symmetry_space_group_name_H-M 'P 4/m b m'
_symmetry_Int_Tables_number 127
_symmetry_space_group_name_Hall '-P 4 2ab'
loop_
_atom_site_label
_atom_site_type_symbol
_atom_site_fract_x
_atom_site_fract_y
_atom_site_fract_z
Cs1 Cs 0.2026 0.2974 0.0000
Be1 Be 0.1061 0.6061 0.5000
Se1 Se 0.0000 0.0000 0.5000
```

5.
# CsBeSe3

CsBeSe3 after structural relaxation (PBE, Alexandria).

Computed properties:
volume: 351.71 Å³/f.u.
energy above the most stable polymorph in this dataset: 2.1683 eV/atom
total energy: -1.5046 eV per atom

Structure (CIF):
```
data_CsBeSe3
_cell_length_a 7.0588
_cell_length_b 7.0588
_cell_length_c 7.0588
_cell_angle_alpha 90.00
_cell_angle_beta 90.00
_cell_angle_gamma 90.00
_symmetry_space_group_name_H-M 'P m -3 m'
_symmetry_Int_Tables_number 221
_symmetry_space_group_name_Hall '-P 4 2 3'
loop_
_atom_site_label
_atom_site_type_symbol
_atom_site_fract_x
_atom_site_fract_y
_atom_site_fract_z
Cs1 Cs 0.0000 0.0000 0.0000
Be1 Be 0.5000 0.5000 0.5000
Se1 Se 0.0000 0.0000 0.5000
```

6.
# Cs3BeSe3

Cs3BeSe3 after structural relaxation (PBE, Alexandria).

Computed properties:
volume: 270.72 Å³/f.u.
total energy: -3.3266 eV per atom

Structure (CIF):
```
data_Cs3BeSe3
_cell_length_a 10.0349
_cell_length_b 7.8941
_cell_length_c 13.8056
_cell_angle_alpha 90.00
_cell_angle_beta 98.05
_cell_angle_gamma 90.00
_symmetry_space_group_name_H-M 'P 1 21/c 1'
_symmetry_Int_Tables_number 14
_symmetry_space_group_name_Hall '-P 2ybc'
loop_
_atom_site_label
_atom_site_type_symbol
_atom_site_fract_x
_atom_site_fract_y
_atom_site_fract_z
Cs1 Cs 0.0558 0.1491 0.1310
Cs2 Cs 0.3225 0.6737 0.7950
Cs3 Cs 0.3740 0.2066 0.9272
Be1 Be 0.1362 0.5617 0.0390
Se1 Se 0.0610 0.0832 0.3991
Se2 Se 0.2586 0.6929 0.5313
Se3 Se 0.3283 0.0294 0.6357
```

7.
# CsSmBeSe3

CsSmBeSe3 after structural relaxation (PBE, Alexandria).

Computed properties:
volume: 191.21 Å³/f.u.
total energy: -4.6855 eV per atom

Structure (CIF):
```
data_CsSmBeSe3
_cell_length_a 9.9594
_cell_length_b 4.1206
_cell_length_c 10.0286
_cell_angle_alpha 90.00
_cell_angle_beta 111.69
_cell_angle_gamma 90.00
_symmetry_space_group_name_H-M 'P 1 21/m 1'
_symmetry_Int_Tables_number 11
_symmetry_space_group_name_Hall '-P 2yb'
loop_
_atom_site_label
_atom_site_type_symbol
_atom_site_fract_x
_atom_site_fract_y
_atom_site_fract_z
Cs1 Cs 0.2409 0.2500 0.2089
Sm1 Sm 0.1468 0.2500 0.6688
Be1 Be 0.3935 0.7500 0.9240
Se1 Se 0.1591 0.7500 0.8801
Se2 Se 0.1649 0.7500 0.4715
Se3 Se 0.4667 0.2500 0.8401
```

8.
# Cs2SmBe2Se4

Cs2SmBe2Se4 after structural relaxation (PBE, Alexandria).

Computed properties:
volume: 250.63 Å³/f.u.
total energy: -4.1620 eV per atom

Structure (CIF):
```
data_Cs2SmBe2Se4
_cell_length_a 15.5553
_cell_length_b 3.9558
_cell_length_c 8.6593
_cell_angle_alpha 90.00
_cell_angle_beta 109.83
_cell_angle_gamma 90.00
_symmetry_space_group_name_H-M 'C 1 2/m 1'
_symmetry_Int_Tables_number 12
_symmetry_space_group_name_Hall '-C 2y'
loop_
_atom_site_label
_atom_site_type_symbol
_atom_site_fract_x
_atom_site_fract_y
_atom_site_fract_z
Cs1 Cs 0.1333 0.0000 0.0393
Sm1 Sm 0.0000 0.0000 0.5000
Be1 Be 0.1704 0.5000 0.4735
Se1 Se 0.0361 0.5000 0.2737
Se2 Se 0.2043 0.0000 0.6307
```

9.
# CsBeSn2Se

CsBeSn2Se after structural relaxation (PBE, Alexandria).

Computed properties:
volume: 217.04 Å³/f.u.
total energy: -2.5252 eV per atom

Structure (CIF):
```
data_CsBeSn2Se
_cell_length_a 5.6660
_cell_length_b 5.6660
_cell_length_c 6.7608
_cell_angle_alpha 90.00
_cell_angle_beta 90.00
_cell_angle_gamma 90.00
_symmetry_space_group_name_H-M 'P 4/m m m'
_symmetry_Int_Tables_number 123
_symmetry_space_group_name_Hall '-P 4 2'
loop_
_atom_site_label
_atom_site_type_symbol
_atom_site_fract_x
_atom_site_fract_y
_atom_site_fract_z
Cs1 Cs 0.0000 0.0000 0.0000
Be1 Be 0.5000 0.5000 0.0000
Sn1 Sn 0.0000 0.5000 0.5000
Se1 Se 0.0000 0.0000 0.5000
```

10.
# Cs2BeSnSe4

Cs2BeSnSe4 after structural relaxation (PBE, Alexandria).

Computed properties:
volume: 291.68 Å³/f.u.
total energy: -3.8095 eV per atom

Structure (CIF):
```
data_Cs2BeSnSe4
_cell_length_a 6.1806
_cell_length_b 14.7739
_cell_length_c 25.5550
_cell_angle_alpha 90.00
_cell_angle_beta 90.00
_cell_angle_gamma 90.00
_symmetry_space_group_name_H-M 'F d d d'
_symmetry_Int_Tables_number 70
loop_
_symmetry_equiv_pos_as_xyz
'x,y,z'
'-x,-y,-z'
'-x+1/4,-y+1/4,z'
'x+1/4,y+1/4,-z'
'x,-y+1/4,-z+1/4'
'-x,y+1/4,z+1/4'
'-x+1/4,y,-z+1/4'
'x+1/4,-y,z+1/4'
'x,y+1/2,z+1/2'
'-x,-y+1/2,-z+1/2'
'-x+1/4,-y+3/4,z+1/2'
'x+1/4,y+3/4,-z+1/2'
'x,-y+3/4,-z+3/4'
'-x,y+3/4,z+3/4'
'-x+1/4,y+1/2,-z+3/4'
'x+1/4,-y+1/2,z+3/4'
'x+1/2,y,z+1/2'
'-x+1/2,-y,-z+1/2'
'-x+3/4,-y+1/4,z+1/2'
'x+3/4,y+1/4,-z+1/2'
'x+1/2,-y+1/4,-z+3/4'
'-x+1/2,y+1/4,z+3/4'
'-x+3/4,y,-z+3/4'
'x+3/4,-y,z+3/4'
'x+1/2,y+1/2,z'
'-x+1/2,-y+1/2,-z'
'-x+3/4,-y+3/4,z'
'x+3/4,y+3/4,-z'
'x+1/2,-y+3/4,-z+1/4'
'-x+1/2,y+3/4,z+1/4'
'-x+3/4,y+1/2,-z+1/4'
'x+3/4,-y+1/2,z+1/4'
loop_
_atom_site_label
_atom_site_type_symbol
_atom_site_fract_x
_atom_site_fract_y
_atom_site_fract_z
Cs1 Cs 0.1250 0.1250 0.3048
Be1 Be 0.1250 0.1250 0.6250
Sn1 Sn 0.1250 0.1250 0.1250
Se1 Se 0.0977 0.2865 0.8226
```

| no. | theoretical density (Mg/m³) |
| --- | --- |
| 1 | 3.619 |
| 2 | 5.161 |
| 3 | 3.983 |
| 4 | 4.315 |
| 5 | 1.788 |
| 6 | 3.954 |
| 7 | 4.595 |
| 8 | 4.969 |
| 9 | 3.506 |
| 10 | 4.038 |